1.
A plane-wave DFT calculation with GGA-PBE was carried out for TlNiPdBr6 after structural relaxation.

Cell and atoms, written as POSCAR:
```
TlNiPdBr6
1.0
-0.962 3.370 -5.851
-5.521 -0.888 -3.579
-3.284 5.530 3.515
Tl Ni Pd Br
1 1 1 6
direct
0.002 0.996 0.000
0.328 0.344 0.500
0.665 0.671 0.500
0.001 0.370 0.311
0.371 0.002 0.696
0.630 0.369 0.689
0.015 0.623 0.711
0.361 0.624 0.290
0.627 0.002 0.304
```

Properties
uncorrected energy: -2.978 eV per atom
formation energy without anion corrections: -3.42 eV/f.u.
DOS(E_F): 0.153 states/eV/atom

=====

2.
A plane-wave DFT calculation with GGA-PBE was carried out for Zr6Mn2Pt after structural relaxation.

Cell and atoms, written as POSCAR:
```
Zr6Mn2Pt
1.0
-4.233 -1.809 6.196
-0.024 -5.810 -5.082
7.335 1.279 2.036
Zr Mn Pt
12 4 2
direct
0.537 0.725 0.812
0.463 0.275 0.188
0.087 0.275 0.812
0.913 0.725 0.188
0.803 0.754 0.557
0.197 0.246 0.443
0.197 0.754 0.951
0.803 0.246 0.049
0.695 0.369 0.674
0.305 0.631 0.326
0.305 0.979 0.674
0.695 0.021 0.326
0.500 0.389 0.889
0.500 0.611 0.111
0.661 0.000 0.661
0.339 0.000 0.339
0.000 0.500 0.500
0.000 0.000 0.000
```

Properties
uncorrected energy: -8.668 eV per atom
formation energy from the elements: -260.3 meV per atom
DOS(E_F): 1.166 states/eV/atom

=====

3.
A plane-wave DFT calculation with GGA-PBE was carried out for MnTc2Rh after structural relaxation.

Cell and atoms, written as POSCAR:
```
MnTc2Rh
1.0
-5.089 -6.174 -3.724
-4.293 -7.561 -1.511
-6.438 -5.879 -1.368
Mn Rh Tc
1 1 2
direct
0.499 0.499 0.499
0.753 0.753 0.753
0.999 0.999 0.999
0.249 0.249 0.249
```

Properties
uncorrected energy: -9.261 eV per atom
formation energy from the elements: 52.1 meV per atom
ΔE to the lowest computed polymorph: 78 meV/atom
DOS(E_F): 1.235 states/eV/atom

=====

4.
A plane-wave DFT calculation with GGA-PBE was carried out for DyAl3Pd2 after structural relaxation.

Cell and atoms, written as POSCAR:
```
DyAl3Pd2
1.0
-1.664 3.516 -1.492
4.734 -2.986 -6.499
-8.965 -4.421 -0.421
Dy Al Pd
3 9 6
direct
0.158 0.316 0.705
0.842 0.684 0.295
0.000 0.000 0.000
0.042 0.085 0.354
0.958 0.915 0.646
0.214 0.428 0.391
0.786 0.572 0.609
0.627 0.255 0.199
0.373 0.745 0.801
0.500 0.000 0.500
0.326 0.651 0.035
0.674 0.349 0.965
0.199 0.397 0.128
0.801 0.603 0.872
0.474 0.948 0.220
0.526 0.052 0.780
0.362 0.723 0.547
0.638 0.277 0.453
```

Properties
uncorrected energy: -5.161 eV per atom
formation energy from the elements: -792.1 meV per atom
DOS(E_F): 0.434 states/eV/atom

=====

5.
A plane-wave DFT calculation with GGA-PBE was carried out for AcNdS3 after structural relaxation.

Cell and atoms, written as POSCAR:
```
AcNdS3
1.0
-0.147 4.049 -1.184
-3.990 1.707 6.332
13.675 2.795 7.862
Ac Nd S
4 4 12
direct
0.750 0.854 0.800
0.250 0.146 0.200
0.750 0.354 0.700
0.250 0.646 0.300
0.250 0.268 0.955
0.250 0.768 0.545
0.750 0.232 0.455
0.750 0.732 0.045
0.250 0.372 0.560
0.750 0.852 0.215
0.750 0.487 0.895
0.750 0.987 0.605
0.750 0.628 0.440
0.250 0.013 0.395
0.250 0.872 0.940
0.750 0.352 0.285
0.250 0.648 0.715
0.250 0.148 0.785
0.750 0.128 0.060
0.250 0.513 0.105
```

Properties
uncorrected energy: -6.382 eV per atom
formation energy without anion corrections: -10.65 eV/f.u.
ΔE to the lowest computed polymorph: 0 meV/atom

=====

6.
A plane-wave DFT calculation with GGA-PBE was carried out for La2PuCuS5 after structural relaxation.

Cell and atoms, written as POSCAR:
```
La2PuCuS5
1.0
3.986 0.000 0.000
-1.993 8.286 0.000
0.000 0.000 12.113
La Pu Cu S
4 2 2 10
direct
0.882 0.764 0.845
0.116 0.232 0.695
0.118 0.236 0.345
0.884 0.768 0.195
0.818 0.637 0.526
0.182 0.363 0.026
0.549 0.098 0.923
0.451 0.902 0.423
0.346 0.693 0.020
0.686 0.373 0.867
0.494 0.987 0.751
0.301 0.602 0.685
0.982 0.964 0.512
0.654 0.307 0.520
0.314 0.627 0.367
0.506 0.013 0.251
0.699 0.398 0.185
0.018 0.036 0.012
```

Properties
uncorrected energy: -7.149 eV per atom
formation energy without anion corrections: -15.42 eV/f.u.
DOS(E_F): 1.352 states/eV/atom

=====

7.
A plane-wave DFT calculation with GGA-PBE was carried out for Mg2TlHRu after structural relaxation.

Cell and atoms, written as POSCAR:
```
Mg2TlHRu
1.0
-3.046 -0.143 -3.387
-1.674 -3.895 1.670
-2.353 1.885 2.037
Ru Tl Mg H
1 1 2 1
direct
0.000 0.000 0.500
0.500 0.500 0.500
0.000 0.500 0.000
0.500 0.000 0.000
0.000 0.000 0.000
```

Properties
uncorrected energy: -3.640 eV per atom
ΔE to the lowest computed polymorph: 0 meV/atom
DOS(E_F): 0.582 states/eV/atom

=====

8.
A plane-wave DFT calculation with GGA-PBE was carried out for PmYErPu after structural relaxation.

Cell and atoms, written as POSCAR:
```
PmYErPu
1.0
5.621 0.000 0.000
2.811 4.868 0.000
2.811 1.623 4.590
Y Er Pm Pu
1 1 1 1
direct
0.250 0.250 0.250
0.000 0.000 0.000
0.750 0.750 0.750
0.500 0.500 0.500
```

Properties
uncorrected energy: -7.322 eV per atom
formation energy from the elements: 205.1 meV per atom
DOS(E_F): 2.762 states/eV/atom

=====

9.
A plane-wave DFT calculation with GGA-PBE was carried out for HoTc2Ge2C after structural relaxation.

Cell and atoms, written as POSCAR:
```
HoTc2Ge2C
1.0
4.181 0.000 0.000
0.000 4.181 0.000
0.000 0.000 5.399
Ho Tc Ge C
1 2 2 1
direct
0.000 0.000 0.500
0.500 0.000 0.000
0.000 0.500 0.000
0.500 0.500 0.721
0.500 0.500 0.279
0.000 0.000 0.000
```

Properties
uncorrected energy: -7.625 eV per atom
formation energy from the elements: -330.1 meV per atom
DOS(E_F): 0.842 states/eV/atom

=====

10.
A plane-wave DFT calculation with GGA-PBE was carried out for Nd4HoEr6 after structural relaxation.

Cell and atoms, written as POSCAR:
```
Nd4HoEr6
1.0
-3.174 -0.455 -1.524
-0.676 -10.051 4.409
-3.888 8.691 5.503
Nd Ho Er
4 1 6
direct
0.500 0.832 0.664
0.500 0.336 0.168
0.500 0.832 0.168
0.000 0.333 0.667
0.000 0.000 0.000
0.000 0.507 0.013
0.500 0.642 0.821
0.000 0.507 0.493
0.000 0.987 0.493
0.500 0.179 0.821
0.500 0.179 0.358
```

Properties
uncorrected energy: -4.469 eV per atom
formation energy from the elements: 170.2 meV per atom
ΔE to the lowest computed polymorph: 0 meV/atom
DOS(E_F): 1.546 states/eV/atom